[1]
Entry from Alexandria: Ca2ZnAs after structural relaxation (GGA-PBE).

Computed properties:
- energy relative to the elements (meV/atom) = -477
- energy above the most stable polymorph in this dataset (meV per atom) = 277
- electronic total energy (eV/f.u.) = -11.83
- SG = No. 99
- M_tot (μB/cell) = 0.002
- ρ (g/cm3) = 3.27

abc: 4.331 4.331 5.969
angles: 90.00 90.00 90.00
Positions (direct):
Ca 0.000 0.000 0.876
Ca 0.500 0.500 0.374
Zn 0.000 0.000 0.376
As 0.500 0.500 0.874

---

[2]
Entry from Alexandria: Li2Ni after structural relaxation (GGA-PBE).

Computed properties:
- energy relative to the elements (meV/atom) = 36
- electronic total energy (eV/f.u.) = -9.50
- SG = No. 71
- M_tot (μB/cell) = 0.000
- ρ (g/cm3) = 3.17

abc: 2.435 4.015 4.545
angles: 116.21 105.54 90.00
Positions (direct):
Li 0.339 0.339 0.678
Li 0.661 0.661 0.322
Ni 0.000 0.000 0.000

---

[3]
Entry from Alexandria: Ta2GeI after structural relaxation (GGA-PBE).

Computed properties:
- energy above the most stable polymorph in this dataset (meV per atom) = 331
- formation energy (no corrections) (eV per formula unit) = 3.354
- electronic total energy (eV/f.u.) = -26.52
- SG = No. 122
- M_tot (μB/cell) = 0.000
- ρ (g/cm3) = 11.03

abc: 4.215 4.215 9.972
angles: 77.80 77.80 90.00
Positions (direct):
Ge 0.500 0.500 0.000
Ge 0.250 0.750 0.500
I 0.000 0.000 0.000
I 0.750 0.250 0.500
Ta 0.611 0.125 0.250
Ta 0.139 0.625 0.250
Ta 0.375 0.389 0.750
Ta 0.875 0.861 0.750

---

[4]
Entry from Alexandria: CrTeBr after structural relaxation (GGA-PBE).

Computed properties:
- formation energy (no corrections) (eV per formula unit) = 0.113
- electronic total energy (eV/f.u.) = -14.32
- SG = No. 216
- M_tot (μB/cell) = 2.997
- ρ (g/cm3) = 5.53

abc: 4.794 4.794 4.794
angles: 60.00 60.00 60.00
Each line ends with the local moment (μB).
Positions (direct):
Te 0.000 0.000 0.000  -0.38
Br 0.500 0.500 0.500  -0.18
Cr 0.750 0.750 0.750  3.45

---

[5]
Entry from Alexandria: VCr5Ru6 after structural relaxation (GGA-PBE).

Computed properties:
- energy relative to the elements (meV/atom) = 28
- electronic total energy (eV/f.u.) = -112.56
- SG = No. 10
- M_tot (μB/cell) = 1.693
- ρ (g/cm3) = 9.66

abc: 4.359 5.665 6.600
angles: 90.00 104.68 90.00
Each line ends with the local moment (μB).
Positions (direct):
Cr 0.388 0.000 0.641  0.00
Cr 0.611 0.500 0.359  0.04
Cr 0.000 0.500 0.000  1.48
Cr 0.612 0.000 0.359  0.00
Cr 0.389 0.500 0.641  0.04
V 0.000 0.000 0.000  0.19
Ru 0.500 0.749 0.000  0.01
Ru 0.108 0.250 0.321  -0.04
Ru 0.892 0.750 0.679  -0.04
Ru 0.108 0.750 0.321  -0.04
Ru 0.892 0.250 0.679  -0.04
Ru 0.500 0.251 0.000  0.01

---

[6]
Entry from Alexandria: Ba3MgSb2O8 after structural relaxation (GGA-PBE).

Computed properties:
- formation energy (no corrections) (eV per formula unit) = -28.148
- electronic total energy (eV/f.u.) = -83.42
- SG = No. 164
- M_tot (μB/cell) = 1.146
- ρ (g/cm3) = 5.48

abc: 5.988 5.988 7.886
angles: 90.00 90.00 120.00
Each line ends with the local moment (μB).
Positions (direct):
O 0.836 0.164 0.668  0.06
O 0.328 0.164 0.668  0.06
O 0.164 0.836 0.332  0.06
O 0.672 0.836 0.332  0.06
O 0.836 0.672 0.668  0.06
O 0.333 0.667 0.955  0.15
O 0.164 0.328 0.332  0.06
O 0.667 0.333 0.045  0.15
Mg 0.000 0.000 0.500  0.01
Ba 0.333 0.667 0.638  0.01
Ba 0.667 0.333 0.362  0.01
Ba 0.000 0.000 0.000  0.01
Sb 0.333 0.667 0.209  0.09
Sb 0.667 0.333 0.791  0.09

---

[7]
Entry from Alexandria: Ba2WCl after structural relaxation (GGA-PBE).

Computed properties:
- energy above the most stable polymorph in this dataset (meV per atom) = 93
- formation energy (no corrections) (eV per formula unit) = 0.984
- electronic total energy (eV/f.u.) = -17.66
- SG = No. 123
- M_tot (μB/cell) = 3.152
- ρ (g/cm3) = 5.76

abc: 4.694 4.694 6.458
angles: 90.00 90.00 90.00
Each line ends with the local moment (μB).
Positions (direct):
Cl 0.000 0.000 0.375  0.00
Ba 0.500 0.500 0.375  0.02
Ba 0.000 0.000 0.875  0.07
W 0.500 0.500 0.875  2.35

---

[8]
Entry from Alexandria: Ag2BiO6 after structural relaxation (GGA-PBE).

Computed properties:
- formation energy (no corrections) (eV per formula unit) = -0.273
- electronic total energy (eV/f.u.) = -39.61
- SG = No. 162
- M_tot (μB/cell) = 2.218
- ρ (g/cm3) = 6.62

abc: 4.545 5.760 5.760
angles: 120.00 90.00 90.00
Each line ends with the local moment (μB).
Positions (direct):
O 0.275 0.000 0.335  0.22
O 0.275 0.665 0.665  0.22
O 0.275 0.335 0.000  0.22
O 0.725 0.000 0.665  0.22
O 0.725 0.665 0.000  0.22
O 0.725 0.335 0.335  0.22
Ag 0.500 0.667 0.333  0.32
Ag 0.500 0.333 0.667  0.32
Bi 0.500 0.000 0.000  -0.02

---

[9]
Entry from Alexandria: KGa2H after structural relaxation (GGA-PBE).

Computed properties:
- energy above the most stable polymorph in this dataset (meV per atom) = 674
- electronic total energy (eV/f.u.) = -7.59
- SG = No. 225
- M_tot (μB/cell) = 0.000
- ρ (g/cm3) = 3.09

abc: 5.151 5.151 5.151
angles: 60.00 60.00 60.00
Positions (direct):
Ga 0.750 0.750 0.750
Ga 0.250 0.250 0.250
H 0.000 0.000 0.000
K 0.500 0.500 0.500

---

[10]
Entry from Alexandria: Co2GeBi after structural relaxation (GGA-PBE).

Computed properties:
- energy relative to the elements (meV/atom) = 420
- electronic total energy (eV/f.u.) = -21.03
- SG = No. 122
- M_tot (μB/cell) = 5.341
- ρ (g/cm3) = 8.65

abc: 4.382 4.382 8.566
angles: 75.18 75.18 90.00
Each line ends with the local moment (μB).
Positions (direct):
Co 0.875 0.737 0.750  1.47
Co 0.487 0.125 0.250  1.21
Co 0.263 0.625 0.250  1.23
Co 0.375 0.513 0.750  1.45
Ge 0.500 0.500 0.000  -0.01
Ge 0.250 0.750 0.500  -0.01
Bi 0.000 0.000 0.000  -0.03
Bi 0.750 0.250 0.500  -0.02

---

[11]
Entry from Alexandria: Pm4Sm3ScSe8 after structural relaxation (GGA-PBE).

Computed properties:
- formation energy (no corrections) (eV per formula unit) = -28.469
- electronic total energy (eV/f.u.) = -95.84
- SG = No. 166
- M_tot (μB/cell) = 0.000
- ρ (g/cm3) = 6.99

abc: 8.299 8.318 8.299
angles: 119.93 120.00 90.00
Positions (direct):
Se 0.758 0.739 0.998
Se 0.251 0.252 0.502
Se 0.241 0.739 0.998
Se 0.759 0.261 0.002
Se 0.241 0.739 0.482
Se 0.759 0.261 0.518
Se 0.749 0.748 0.498
Se 0.242 0.261 0.002
Sm 0.000 0.500 0.500
Sm 0.500 0.500 0.500
Sm 0.500 0.500 0.000
Pm 0.000 0.000 0.000
Pm 0.500 0.000 0.000
Pm 0.500 0.000 0.500
Pm 0.000 0.000 0.500
Sc 0.000 0.500 0.000

---

[12]
Entry from Alexandria: PrGe2PdRu after structural relaxation (GGA-PBE).

Computed properties:
- energy relative to the elements (meV/atom) = -713
- electronic total energy (eV/f.u.) = -32.05
- SG = No. 119
- M_tot (μB/cell) = 0.000
- ρ (g/cm3) = 8.67

abc: 4.210 4.210 6.108
angles: 110.16 110.16 90.00
Positions (direct):
Ge 0.376 0.376 0.752
Ge 0.624 0.624 0.248
Pd 0.250 0.750 0.500
Ru 0.750 0.250 0.500
Pr 0.000 0.000 0.000

---

[13]
Entry from Alexandria: ZrRh after structural relaxation (GGA-PBE).

Computed properties:
- energy relative to the elements (meV/atom) = -632
- electronic total energy (eV/f.u.) = -17.16
- SG = No. 74
- M_tot (μB/cell) = 0.000
- ρ (g/cm3) = 8.91

abc: 5.524 5.524 5.524
angles: 142.45 134.68 60.27
Positions (direct):
Zr 0.872 0.122 0.250
Zr 0.128 0.878 0.750
Rh 0.635 0.385 0.750
Rh 0.365 0.615 0.250

---

[14]
Entry from Alexandria: Bi3O2 after structural relaxation (GGA-PBE).

Computed properties:
- formation energy (no corrections) (eV per formula unit) = -3.474
- electronic total energy (eV/f.u.) = -25.03
- SG = No. 139
- M_tot (μB/cell) = 0.000
- ρ (g/cm3) = 9.84

abc: 7.686 7.686 7.686
angles: 150.30 150.30 42.50
Positions (direct):
Bi 0.339 0.339 0.000
Bi 0.000 0.000 0.000
Bi 0.661 0.661 0.000
O 0.250 0.750 0.500
O 0.750 0.250 0.500

---

[15]
Entry from Alexandria: Pr2ErAs3Rh12 after structural relaxation (GGA-PBE).

Computed properties:
- energy relative to the elements (meV/atom) = -273
- electronic total energy (eV/f.u.) = -121.19
- SG = No. 166
- M_tot (μB/cell) = 0.000
- ρ (g/cm3) = 10.02

abc: 6.846 6.846 6.846
angles: 84.24 84.24 84.24
Positions (direct):
Rh 0.184 0.184 0.681
Rh 0.816 0.816 0.319
Rh 0.681 0.184 0.184
Rh 0.319 0.816 0.816
Rh 0.378 0.898 0.378
Rh 0.378 0.378 0.898
Rh 0.102 0.622 0.622
Rh 0.816 0.319 0.816
Rh 0.622 0.102 0.622
Rh 0.898 0.378 0.378
Rh 0.184 0.681 0.184
Rh 0.622 0.622 0.102
Pr 0.643 0.643 0.643
Pr 0.357 0.357 0.357
As 0.500 0.000 0.000
As 0.000 0.500 0.000
As 0.000 0.000 0.500
Er 0.000 0.000 0.000

---

[16]
Entry from Alexandria: MgTc2Ag after structural relaxation (GGA-PBE).

Computed properties:
- energy relative to the elements (meV/atom) = 322
- electronic total energy (eV/f.u.) = -23.89
- SG = No. 71
- M_tot (μB/cell) = 0.000
- ρ (g/cm3) = 8.55

abc: 5.418 5.418 5.418
angles: 145.19 134.96 58.15
Positions (direct):
Tc 0.000 0.000 0.000
Tc 0.500 0.500 0.000
Ag 0.750 0.250 0.500
Mg 0.250 0.750 0.500

---

[17]
Entry from Alexandria: Ba2AlI after structural relaxation (GGA-PBE).

Computed properties:
- energy above the most stable polymorph in this dataset (meV per atom) = 250
- formation energy (no corrections) (eV per formula unit) = -1.920
- electronic total energy (eV/f.u.) = -11.06
- SG = No. 225
- M_tot (μB/cell) = 2.003
- ρ (g/cm3) = 4.39

abc: 6.121 6.121 6.121
angles: 60.00 60.00 60.00
Each line ends with the local moment (μB).
Positions (direct):
Ba 0.250 0.250 0.250  0.12
Ba 0.750 0.750 0.750  0.12
I 0.500 0.500 0.500  0.08
Al 0.000 0.000 0.000  0.16

---

[18]
Entry from Alexandria: Ti2SbPd4 after structural relaxation (GGA-PBE).

Computed properties:
- formation energy (no corrections) (eV per formula unit) = -3.530
- electronic total energy (eV/f.u.) = -44.21
- SG = No. 166
- M_tot (μB/cell) = 0.000
- ρ (g/cm3) = 9.28

abc: 4.538 4.538 6.963
angles: 70.98 70.98 60.00
Positions (direct):
Pd 0.422 0.422 0.734
Pd 0.141 0.141 0.577
Pd 0.578 0.578 0.266
Pd 0.859 0.859 0.423
Ti 0.727 0.727 0.819
Ti 0.273 0.273 0.181
Sb 0.000 0.000 0.000

---

[19]
Entry from Alexandria: Tb3Pr6Y2Mg after structural relaxation (GGA-PBE).

Computed properties:
- energy relative to the elements (meV/atom) = 19
- electronic total energy (eV/f.u.) = -56.86
- SG = No. 12
- M_tot (μB/cell) = 0.000
- ρ (g/cm3) = 6.32

abc: 6.290 6.290 11.885
angles: 95.07 95.07 120.04
Positions (direct):
Tb 0.167 0.833 0.500
Tb 0.500 0.500 0.500
Tb 0.833 0.167 0.500
Y 0.333 0.667 0.000
Y 0.667 0.333 0.000
Pr 0.751 0.751 0.250
Pr 0.586 0.918 0.751
Pr 0.414 0.082 0.249
Pr 0.249 0.249 0.750
Pr 0.918 0.586 0.751
Pr 0.082 0.414 0.249
Mg 0.000 0.000 0.000

---

[20]
Entry from Alexandria: CdPPd2 after structural relaxation (GGA-PBE).

Computed properties:
- energy relative to the elements (meV/atom) = -281
- energy above the most stable polymorph in this dataset (meV per atom) = 118
- electronic total energy (eV/f.u.) = -17.83
- SG = No. 123
- M_tot (μB/cell) = 0.000
- ρ (g/cm3) = 9.18

abc: 3.084 3.084 6.770
angles: 90.00 90.00 90.00
Positions (direct):
P 0.500 0.500 0.000
Pd 0.000 0.000 0.209
Pd 0.000 0.000 0.791
Cd 0.500 0.500 0.500

---

[21]
Entry from Alexandria: SiRhBr after structural relaxation (GGA-PBE).

Computed properties:
- energy above the most stable polymorph in this dataset (meV per atom) = 0
- formation energy (no corrections) (eV per formula unit) = -0.856
- electronic total energy (eV/f.u.) = -15.30
- SG = No. 44
- M_tot (μB/cell) = 0.000
- ρ (g/cm3) = 5.93

abc: 6.452 6.452 6.452
angles: 151.02 152.93 40.07
Positions (direct):
Br 0.987 0.987 0.000
Rh 0.217 0.217 0.000
Si 0.796 0.796 0.000

---

[22]
Entry from Alexandria: TaAlIr after structural relaxation (GGA-PBE).

Computed properties:
- energy relative to the elements (meV/atom) = 69
- electronic total energy (eV/f.u.) = -24.25
- SG = No. 216
- M_tot (μB/cell) = 0.000
- ρ (g/cm3) = 11.73

abc: 4.310 4.310 4.310
angles: 60.00 60.00 60.00
Positions (direct):
Ir 0.500 0.500 0.500
Ta 0.750 0.750 0.750
Al 0.000 0.000 0.000

---

[23]
Entry from Alexandria: PrZn6Au2 after structural relaxation (GGA-PBE).

Computed properties:
- energy relative to the elements (meV/atom) = -216
- electronic total energy (eV/f.u.) = -20.92
- SG = No. 71
- M_tot (μB/cell) = 0.000
- ρ (g/cm3) = 9.13

abc: 4.101 7.301 7.301
angles: 54.38 73.69 73.69
Positions (direct):
Zn 0.310 0.987 0.393
Zn 0.310 0.393 0.987
Zn 0.690 0.607 0.013
Zn 0.500 0.680 0.320
Zn 0.500 0.320 0.680
Zn 0.690 0.013 0.607
Pr 0.000 0.000 0.000
Au 0.876 0.624 0.624
Au 0.124 0.376 0.376

---

[24]
Entry from Alexandria: Co2MoH after structural relaxation (GGA-PBE).

Computed properties:
- energy above the most stable polymorph in this dataset (meV per atom) = 11
- electronic total energy (eV/f.u.) = -27.97
- SG = No. 66
- M_tot (μB/cell) = 0.000
- ρ (g/cm3) = 9.21

abc: 4.431 4.419 4.535
angles: 90.00 119.25 90.00
Positions (direct):
H 0.363 0.871 0.454
H 0.363 0.371 0.454
Co 0.546 0.121 0.281
Co 0.007 0.621 0.281
Co 0.719 0.621 0.627
Co 0.180 0.121 0.627
Mo 0.363 0.621 0.954
Mo 0.863 0.121 0.954

---

[25]
Entry from Alexandria: ZrMn2PbSe after structural relaxation (GGA-PBE).

Computed properties:
- formation energy (no corrections) (eV per formula unit) = 5.865
- electronic total energy (eV/f.u.) = -28.22
- SG = No. 123
- M_tot (μB/cell) = 5.947
- ρ (g/cm3) = 5.77

abc: 4.982 5.651 4.982
angles: 90.00 90.00 90.00
Each line ends with the local moment (μB).
Positions (direct):
Se 0.000 0.500 0.000  0.14
Mn 0.000 0.000 0.500  3.92
Mn 0.500 0.000 0.000  3.67
Pb 0.000 0.000 0.000  -0.09
Zr 0.500 0.500 0.500  -1.31

---

[26]
Entry from Alexandria: SbTeAs2 after structural relaxation (GGA-PBE).

Computed properties:
- energy above the most stable polymorph in this dataset (meV per atom) = 6
- formation energy (no corrections) (eV per formula unit) = 0.310
- electronic total energy (eV/f.u.) = -16.25
- SG = No. 12
- M_tot (μB/cell) = 0.000
- ρ (g/cm3) = 6.51

abc: 4.145 4.145 7.206
angles: 72.64 72.64 61.33
Positions (direct):
Sb 0.750 0.750 0.750
As 0.003 0.003 0.991
As 0.497 0.497 0.509
Te 0.250 0.250 0.250